[1]
A plane-wave DFT calculation with PBE-GGA was carried out for an optimized crystal structure of SrLaPd.

abc: 5.1948 5.1948 5.1948
angles: 60.00 60.00 60.00
Closest atoms and distances in Å follow each position.
Atoms (fractional coordinates):
Pd (0.2500, 0.2500, 0.2500)  4 Sr 3.18, 4 La 3.18
Sr (0.0000, 0.0000, 0.0000)  4 Pd 3.18
La (0.5000, 0.5000, 0.5000)  4 Pd 3.18

The calculation puts the offset from the most stable computed form at 47 kJ/mol of formula units. For the formation energy, the calculation gives -0.361 eV per atom. Its density of states at the Fermi level is 1.364 states/eV per atom.

[2]
A plane-wave DFT calculation with PBE-GGA was carried out for an optimized crystal structure of Sm2Ga2CuNi5.

abc: 3.2841 9.7525 9.7525
angles: 90.00 90.00 90.00
Closest atoms and distances in Å follow each position.
Atoms (fractional coordinates):
Ni (0.5000, 0.6931, 0.4460)  2 Ga 2.51, 2 Cu 2.55, 2 Ni 2.77
Ni (0.5000, 0.5540, 0.6931)  2 Ga 2.51, 2 Cu 2.55, 2 Ni 2.77
Ni (0.5000, 0.1931, 0.0540)  2 Ga 2.51, 2 Cu 2.55, 2 Ni 2.77
Cu (0.0000, 0.5000, 0.5000)  8 Ni 2.55
Ni (0.5000, 0.0000, 0.5000)  4 Ga 2.38
Ni (0.5000, 0.3069, 0.5540)  2 Ga 2.51, 2 Cu 2.55, 2 Ni 2.77
Ni (0.5000, 0.8069, 0.9460)  2 Ga 2.51, 2 Cu 2.55, 2 Ni 2.77
Ni (0.5000, 0.4460, 0.3069)  2 Ga 2.51, 2 Cu 2.55, 2 Ni 2.77
Ni (0.5000, 0.5000, 0.0000)  4 Ga 2.38
Sm (0.0000, 0.1751, 0.3249)  3 Ga 2.75-2.97, 6 Ni 2.92-3.06
Ni (0.5000, 0.0540, 0.8069)  2 Ga 2.51, 2 Cu 2.55, 2 Ni 2.77
Sm (0.0000, 0.3249, 0.8249)  3 Ga 2.75-2.97, 6 Ni 2.92-3.06
Ni (0.5000, 0.9460, 0.1931)  2 Ga 2.51, 2 Cu 2.55, 2 Ni 2.77
Ga (0.0000, 0.8748, 0.3748)  6 Ni 2.38-2.51
Ga (0.0000, 0.3748, 0.1252)  6 Ni 2.38-2.51
Sm (0.0000, 0.8249, 0.6751)  3 Ga 2.75-2.97, 6 Ni 2.92-3.06
Cu (0.0000, 0.0000, 0.0000)  8 Ni 2.55
Ga (0.0000, 0.1252, 0.6252)  6 Ni 2.38-2.51
Ga (0.0000, 0.6252, 0.8748)  6 Ni 2.38-2.51
Sm (0.0000, 0.6751, 0.1751)  3 Ga 2.75-2.97, 6 Ni 2.92-3.06

For the formation energy, the calculation gives -0.217 eV per atom. Its density of states at the Fermi level is 0.623 states/eV per atom.

[3]
A plane-wave DFT calculation with PBE-GGA was carried out for an optimized crystal structure of RbCa2TlAg.

abc: 6.5921 5.6214 6.5921
angles: 90.00 90.00 90.00
Closest atoms and distances in Å follow each position.
Atoms (fractional coordinates):
Rb (0.0000, 0.0000, 0.0000)  2 Ag 2.81
Ca (0.5000, 0.0000, 0.0000)  2 Rb 3.30
Tl (0.5000, 0.5000, 0.5000)  8 Ca 4.33, 4 Ag 4.66
Ag (0.0000, 0.5000, 0.0000)  2 Rb 2.81
Ca (0.0000, 0.0000, 0.5000)  2 Rb 3.30

For the formation energy, the calculation gives 0.878 eV per atom. Its density of states at the Fermi level is 1.561 states/eV per atom.

[4]
A plane-wave DFT calculation with PBE-GGA was carried out for an optimized crystal structure of KNaPt3.

abc: 5.1100 5.1100 5.1100
angles: 90.00 90.00 90.00
Closest atoms and distances in Å follow each position.
Atoms (fractional coordinates):
K (0.0000, 0.0000, 0.0000)  6 Pt 2.55
Pt (0.0000, 0.0000, 0.5000)  2 K 2.55
Na (0.5000, 0.5000, 0.5000)  12 Pt 3.61
Pt (0.5000, 0.0000, 0.0000)  2 K 2.55
Pt (0.0000, 0.5000, 0.0000)  2 K 2.55

The calculation puts the offset from the most stable computed form at 266 kJ/mol of formula units. For the formation energy, the calculation gives 1.621 eV per atom. Its density of states at the Fermi level is 0.394 states/eV per atom.